Compound: MnBiIO6
Source: Alexandria
Functional: PBE+U
Structure: relaxed

Unit cell a=5.348 b=5.348 c=9.967 alpha=90.00 beta=90.00 gamma=120.00
Fractional positions:
O 0.374 0.020 0.640
O 0.354 0.980 0.140
I 0.333 0.667 0.750
O 0.626 0.980 0.360
Bi 0.000 0.000 0.500
I 0.667 0.333 0.250
O 0.646 0.020 0.860
O 0.626 0.646 0.140
O 0.980 0.626 0.860
O 0.374 0.354 0.860
O 0.020 0.374 0.140
Bi 0.000 0.000 0.000
O 0.354 0.374 0.360
O 0.020 0.646 0.360
Mn 0.333 0.667 0.250
O 0.980 0.354 0.640
O 0.646 0.626 0.640
Mn 0.667 0.333 0.750

Output
As for the space group: No. 163. The density is 6.55 g/cm3. The energy is -100.7 eV per cell.